Record 1
Entry from Alexandria: RbFeNO2 at its PBEsol-relaxed geometry (SCAN).

Cell: 3.8360 3.8360 3.9617 Å, 90.00 90.00 90.00°
Closest atoms and distances in Å follow each position.
Sites, in units of the cell vectors:
1 O 0.0000 0.5000 0.0000  2 Fe 1.92
2 O 0.5000 0.0000 0.0000  2 Fe 1.92
3 N 0.0000 0.0000 0.5000  2 Fe 1.98
4 Fe 0.0000 0.0000 0.0000  4 O 1.92, 2 N 1.98
5 Rb 0.5000 0.5000 0.5000  4 N 2.71, 8 O 2.76

Computed properties:
Mass density (Mg/m³): 5.34
Formation energy from raw total energies (eV/atom): -0.491
E_tot (eV per atom): -12.616
Symmetry: P4/mmm (123)

***

Record 2
Entry from Alexandria: RbFeNO2 at its PBEsol-relaxed geometry (SCAN).

Cell: 4.2260 4.2260 4.2204 Å, 90.00 90.00 90.00°
Closest atoms and distances in Å follow each position.
Sites, in units of the cell vectors:
1 N 0.0000 0.0000 0.5000  2 Rb 2.11
2 Fe 0.5000 0.5000 0.5000  8 O 2.99, 4 N 2.99
3 Rb 0.0000 0.0000 0.0000  2 N 2.11, 4 O 2.11
4 O 0.0000 0.5000 0.0000  2 Rb 2.11
5 O 0.5000 0.0000 0.0000  2 Rb 2.11

Computed properties:
Mass density (Mg/m³): 4.13
Formation energy from raw total energies (eV/atom): 1.998
E_tot (eV per atom): -10.127
Symmetry: P4/mmm (123)

***

Calculated values (μB per formula unit) of magnetic moment for the records, taken in order: 5.3, 5.2.